[1]
Material: Hf2SbMo
Method: DFT, PBE-GGA
State: optimized geometry

Geometry as CIF:
```
data_Hf2SbMo
_chemical_formula_sum 'Hf6 Sb3 Mo3'
_cell_length_a 3.3350
_cell_length_b 3.3350
_cell_length_c 26.3754
_cell_angle_alpha 90.00
_cell_angle_beta 90.00
_cell_angle_gamma 120.00
_symmetry_space_group_name_H-M 'R -3 m'
_symmetry_Int_Tables_number 166
_symmetry_space_group_name_Hall '-R 3 2"'
loop_
_atom_site_label
_atom_site_type_symbol
_atom_site_fract_x
_atom_site_fract_y
_atom_site_fract_z
Hf1 Hf 0.0000 0.0000 0.2428
Sb1 Sb 0.0000 0.0000 0.0000
Mo1 Mo 0.0000 0.0000 0.5000
```


[2]
Material: HfTaSb2Mo
Method: DFT, PBE-GGA
State: optimized geometry

Geometry as CIF:
```
data_HfTaSb2Mo
_chemical_formula_sum 'Hf1 Ta1 Sb2 Mo1'
_cell_length_a 5.330
_cell_length_b 5.330
_cell_length_c 4.715
_cell_angle_alpha 90.00
_cell_angle_beta 90.00
_cell_angle_gamma 90.00
_symmetry_space_group_name_H-M 'P 4/m m m'
_symmetry_Int_Tables_number 123
_symmetry_space_group_name_Hall '-P 4 2'
loop_
_atom_site_label
_atom_site_type_symbol
_atom_site_fract_x
_atom_site_fract_y
_atom_site_fract_z
Hf1 Hf 0.000 0.000 0.000
Ta1 Ta 0.500 0.500 0.500
Sb1 Sb 0.000 0.500 0.000
Mo1 Mo 0.000 0.000 0.500
```


Number 1: Fermi-level density of states 10.83 states/eV/cell, total magnetization 0.00 μB/f.u., total energy -105.1 eV per cell. Number 2: Fermi-level density of states 6.70 states/eV/cell, total magnetization 0.83 μB/f.u., total energy -32.5 eV per cell.